# 1
NaTaZn | the Alexandria database | GGA-PBE | relaxed; Fermi-level density of states = 3.09 states/eV/cell; ρ = 7.529 g/cm3; energy of formation from the pure elements = 214 meV/atom; space group = Cm; final energy = -27.61 eV per cell; total magnetization = 0.00 Bohr magnetons per cell
1.0
2.849 -0.002 0.010
0.015 15.156 -0.010
0.731 0.003 2.754
Na Zn Ta
2 2 2
Direct
0.599 0.703 0.897
0.597 0.359 0.893
0.100 0.874 0.396
0.098 0.531 0.396
0.100 0.165 0.394
0.600 0.018 0.895


# 2
Dy2Tm3Sc2 | the Alexandria database | GGA-PBE | relaxed; Fermi-level density of states = 17.52 states/eV/cell; ρ = 7.363 g/cm3; energy of formation from the pure elements = 229 meV/atom; space group = I2_13; final energy = -67.36 eV per cell; total magnetization = 0.00 Bohr magnetons per cell
1.0
-6.181 -2.572 4.636
3.888 -6.425 -3.149
5.176 4.345 4.544
Dy Tm Sc
4 6 4
Direct
0.000 0.000 0.804
0.500 0.804 0.500
0.196 0.696 0.696
0.304 0.500 0.000
0.685 0.750 0.935
0.815 0.250 0.565
0.065 0.315 0.250
0.435 0.185 0.750
0.250 0.935 0.185
0.750 0.565 0.315
0.000 0.000 0.398
0.500 0.398 0.500
0.602 0.102 0.102
0.898 0.500 0.000


Values of energy relative to the lowest polymorph listed for this composition, in order: 0.077 0.014, all in eV per atom.